1.
12
Lattice="6.125 0.000 0.000 -3.062 5.304 0.000 0.000 0.000 7.347" Properties=species:S:1:pos:R:3 comment="PmTe2PbO8 GGA-PBE relaxed" volume_a3_per_fu=238.7 formation_energy_uncorrected_ev_per_atom=-1.3546 pbc="T T T"
Pm 0.000 0.000 0.000
Te 0.000 3.536 2.142
Te 3.062 1.768 5.205
Pb 0.000 0.000 3.673
O 0.000 1.711 1.592
O -1.581 4.449 1.592
O 1.481 0.855 5.754
O 0.000 3.536 3.971
O 3.062 1.768 3.375
O 1.581 4.449 1.592
O 4.644 0.855 5.754
O 3.062 3.594 5.754

---

2.
16
Lattice="3.971 -5.218 0.000 3.971 5.218 0.000 -3.531 0.000 7.269" Properties=species:S:1:pos:R:3 comment="PmTePbO5 GGA-PBE relaxed" volume_a3_per_fu=150.6 formation_energy_uncorrected_ev_per_atom=-1.6886 pbc="T T T"
Pm 1.986 2.609 0.000
Pm 0.220 -2.609 3.635
Te 1.323 4.785 5.452
Te 3.088 -4.785 1.817
Pb 1.323 0.394 5.452
Pb 3.088 -0.394 1.817
O 0.520 3.590 6.652
O 2.125 3.590 4.252
O -1.078 0.304 6.512
O 0.688 -0.304 2.878
O 3.088 1.789 1.817
O 1.323 -1.789 5.452
O 3.723 0.304 4.391
O 5.488 -0.304 0.757
O 2.286 -3.590 3.017
O 3.891 -3.590 0.618

---

3.
10
Lattice="5.483 0.000 0.000 0.000 5.483 0.000 0.000 0.000 5.560" Properties=species:S:1:pos:R:3 comment="Pm2TiPbO6 GGA-PBE relaxed" volume_a3_per_fu=167.1 formation_energy_uncorrected_ev_per_atom=-2.6394 pbc="T T T"
Pm 0.000 2.741 0.000
Pm 2.741 0.000 0.000
Ti 0.000 0.000 3.533
Pb 2.741 2.741 3.072
O 0.000 0.000 1.708
O 1.259 1.259 4.299
O 1.259 4.224 4.299
O 2.741 2.741 0.742
O 4.224 1.259 4.299
O 4.224 4.224 4.299

---

Ordered electronic total energy results: -5.89 -6.24 -7.72; unit eV per atom.
Ordered total moment results: 0.00 1.75 0.00; unit Bohr magnetons per cell.